Here is a geometry-optimized FeSbBr2 structure from Alexandria. Energies are from PBE-GGA.

The calculation puts the total magnetization at 0.00 Bohr magnetons per cell.

The space group is R-3m (No. 166, hexagonal axes) and the conventional cell measures 3.4478, 3.4478 and 32.9335 Å, with angles of 90.00, 90.00 and 120.00 degrees. The asymmetric unit holds Fe at (0.0000, 0.0000, 0.0000), Sb at (0.0000, 0.0000, 0.5000) and Br at (0.0000, 0.0000, 0.3747).


Here is a geometry-optimized FeSbBr2 structure from Alexandria. Energies are from PBE-GGA.

The calculation puts the total magnetization at 5.72 Bohr magnetons per cell.

The space group is C2/m (No. 12) and the conventional cell measures 14.729, 3.410 and 4.830 Å, with angles of 90.00, 101.36 and 90.00 degrees. The asymmetric unit holds Fe at (0.000, 0.000, 0.000), Sb at (0.000, 0.500, 0.500) and Br at (0.139, 0.500, 0.176).


| no. | energy above the most stable polymorph in this dataset (eV per atom) | ΔE_f (raw) (meV per atom) | calculated density (g cm⁻³) |
| --- | --- | --- | --- |
| 1 | 0.270 | 160 | 5.0 |
| 2 | 0.144 | 33 | 4.7 |